[1]
Entry from Alexandria via LeMat-Bulk: an optimized crystal structure of SiTe2P (PBE).

Cell: 7.9021 7.9021 7.9021 Å, 151.82 151.82 40.27°
Element x y z (fractional)
1 P 0.5000 0.5000 0.0000
2 Si 0.7500 0.2500 0.5000
3 Te 0.0000 0.0000 0.0000
4 Te 0.2500 0.7500 0.5000

Symmetry   I-4m2
E   -0.1365 hartree per atom

---

[2]
Entry from Alexandria via LeMat-Bulk: an optimized crystal structure of SiTeP2 (PBE).

Cell: 6.8908 6.8908 6.8908 Å, 30.57 30.57 30.57°
Element x y z (fractional)
1 P 0.9821 0.9821 0.9821
2 P 0.5179 0.5179 0.5179
3 Si 0.2500 0.2500 0.2500
4 Te 0.7500 0.7500 0.7500

Symmetry   R-3m
E   -0.1705 hartree per atom

---

[3]
Entry from Alexandria via LeMat-Bulk: an optimized crystal structure of SiTe2P (PBE).

Cell: 4.9612 4.9612 4.9612 Å, 60.00 60.00 60.00°
Element x y z (fractional)
1 P 0.5000 0.5000 0.5000
2 Si 0.0000 0.0000 0.0000
3 Te 0.2500 0.2500 0.2500
4 Te 0.7500 0.7500 0.7500

Symmetry   Fm-3m
E   -0.1343 hartree per atom

---

> Which of these has the lowest E?

SiTeP2

---

> What is the E in the second record?

-0.1705 hartree per atom

---

> Look up the E of the second one.

-0.1705 hartree per atom

---

> The highest E belongs to which entry?

number 3